# PBE with a Hubbard U CdFeP2O, optimized geometry
data_CdFeP2O
_chemical_formula_sum 'Cd1 Fe1 P2 O1'
_cell_length_a 5.045
_cell_length_b 5.045
_cell_length_c 4.001
_cell_angle_alpha 90.00
_cell_angle_beta 90.00
_cell_angle_gamma 90.00
_space_group_name_H-M_alt 'P 4/m m m'
_space_group_IT_number 123
_space_group_name_Hall '-P 4 2'
loop_
_atom_site_label
_atom_site_fract_x
_atom_site_fract_y
_atom_site_fract_z
Cd1 0.000 0.000 0.000
Fe1 0.500 0.500 0.500
P1 0.000 0.500 0.000
O1 0.000 0.000 0.500
# Electronic total energy in eV per atom: -3.353
# Energy above the most stable polymorph in this dataset in kJ/mol of atoms: 82.9